No. 1
The following is a GGA-PBE calculation of crystalline Ca2Ga4Pd3Pt at its relaxed geometry, from Alexandria.

energy of formation from the pure elements	-0.763	eV/atom
volume	19.3	Å³ per atom
space group	P-4m2 (115)
N(E_F)	0.446	states/eV/atom
calculated total energy	-4.5364	eV/atom

Unit cell a=4.310 b=4.310 c=10.402 alpha=90.00 beta=90.00 gamma=90.00
Element x y z (fractional)
Ca1 0.500 0.000 0.255
Ca2 0.000 0.500 0.745
Ga1 0.500 0.500 0.000
Ga2 0.000 0.000 0.000
Ga3 0.500 0.000 0.628
Ga4 0.000 0.500 0.372
Pd1 0.000 0.000 0.500
Pd2 0.500 0.000 0.867
Pd3 0.000 0.500 0.133
Pt1 0.500 0.500 0.500

***

No. 2
The following is a GGA-PBE calculation of crystalline Sm2NpMoN5 at its relaxed geometry, from Alexandria.

formation energy without anion corrections	-1085	meV per atom
volume	13.9	Å³ per atom
space group	Cmc2_1 (36)
N(E_F)	0.673	states/eV/atom
calculated total energy	-9.4005	eV/atom

Unit cell a=3.490 b=7.097 c=10.401 alpha=90.00 beta=90.00 gamma=104.23
Element x y z (fractional)
Sm1 0.859 0.719 0.805
Sm2 0.107 0.214 0.683
Sm3 0.141 0.281 0.305
Sm4 0.893 0.786 0.183
Np1 0.791 0.582 0.512
Np2 0.209 0.418 0.012
Mo1 0.525 0.050 0.959
Mo2 0.475 0.950 0.459
N1 0.368 0.737 0.002
N2 0.683 0.365 0.885
N3 0.491 0.981 0.784
N4 0.283 0.565 0.650
N5 0.958 0.916 0.545
N6 0.632 0.263 0.502
N7 0.317 0.635 0.385
N8 0.509 0.019 0.284
N9 0.717 0.435 0.150
N10 0.042 0.084 0.045

***

volume of number 1 (Ca2Ga4Pd3Pt)?
19.3 Å³ per atom

***

Number 1 is which compound?
Ca2Ga4Pd3Pt

***

Copy entry 1 word for word.
The following is a GGA-PBE calculation of crystalline Ca2Ga4Pd3Pt at its relaxed geometry, from Alexandria.

energy of formation from the pure elements	-0.763	eV/atom
volume	19.3	Å³ per atom
space group	P-4m2 (115)
N(E_F)	0.446	states/eV/atom
calculated total energy	-4.5364	eV/atom

Unit cell a=4.310 b=4.310 c=10.402 alpha=90.00 beta=90.00 gamma=90.00
Element x y z (fractional)
Ca1 0.500 0.000 0.255
Ca2 0.000 0.500 0.745
Ga1 0.500 0.500 0.000
Ga2 0.000 0.000 0.000
Ga3 0.500 0.000 0.628
Ga4 0.000 0.500 0.372
Pd1 0.000 0.000 0.500
Pd2 0.500 0.000 0.867
Pd3 0.000 0.500 0.133
Pt1 0.500 0.500 0.500

***

Repeat the second record exactly.
The following is a GGA-PBE calculation of crystalline Sm2NpMoN5 at its relaxed geometry, from Alexandria.

formation energy without anion corrections	-1085	meV per atom
volume	13.9	Å³ per atom
space group	Cmc2_1 (36)
N(E_F)	0.673	states/eV/atom
calculated total energy	-9.4005	eV/atom

Unit cell a=3.490 b=7.097 c=10.401 alpha=90.00 beta=90.00 gamma=104.23
Element x y z (fractional)
Sm1 0.859 0.719 0.805
Sm2 0.107 0.214 0.683
Sm3 0.141 0.281 0.305
Sm4 0.893 0.786 0.183
Np1 0.791 0.582 0.512
Np2 0.209 0.418 0.012
Mo1 0.525 0.050 0.959
Mo2 0.475 0.950 0.459
N1 0.368 0.737 0.002
N2 0.683 0.365 0.885
N3 0.491 0.981 0.784
N4 0.283 0.565 0.650
N5 0.958 0.916 0.545
N6 0.632 0.263 0.502
N7 0.317 0.635 0.385
N8 0.509 0.019 0.284
N9 0.717 0.435 0.150
N10 0.042 0.084 0.045